(1)
Computed, not measured: a relaxed structure of KBeAsF2 at the PBE level of DFT.

a b c (Å): 4.3314 4.3314 4.4347
angles (deg): 90.00 90.00 90.00
With the nearest neighbours (Å) after each atom.
Element x y z (fractional)
K: 0.0000 0.0000 0.0000  4 As 3.06, 8 F 3.10
Be: 0.5000 0.5000 0.5000  4 F 2.17, 2 As 2.22
As: 0.5000 0.5000 0.0000  2 Be 2.22
F: 0.0000 0.5000 0.5000  2 Be 2.17
F: 0.5000 0.0000 0.5000  2 Be 2.17

Values from the calculation:
**N(E_F)**: 0.4 states/eV/f.u.
**Energy relative to the elements, uncorrected**: -1.18 eV per atom

***

(2)
Computed, not measured: a relaxed structure of BeAsNF2 at the PBE level of DFT.

a b c (Å): 3.1476 3.1476 6.2494
angles (deg): 90.00 90.00 90.00
With the nearest neighbours (Å) after each atom.
Element x y z (fractional)
Be: 0.0000 0.0000 0.0000  4 F 1.57
As: 0.5000 0.5000 0.5000  4 N 2.23
N: 0.0000 0.0000 0.5000  4 As 2.23
F: 0.0000 0.5000 0.0000  2 Be 1.57
F: 0.5000 0.0000 0.0000  2 Be 1.57

Values from the calculation:
**N(E_F)**: 1.4 states/eV/f.u.
**Energy relative to the lowest polymorph listed for this composition**: 0.0000 eV per atom
**Energy relative to the elements, uncorrected**: -1.08 eV per atom